DFT (PBE with a Hubbard U) results for a relaxed structure of KMoSeO6.

Computed properties:
Electronic total energy, eV/cell: -105.40
Size of the total moment, μB/f.u.: 1.00

Lattice parameters (Å, degrees): 5.1887 5.1887 11.9393 90.00 90.00 120.00
Space group P-31c (No. 163)
One atom of each set of equivalent atoms:
K1 0.0000 0.0000 0.0000 [2 per cell]
Mo1 0.3333 0.6667 0.2500 [2 per cell]
Se1 0.3333 0.6667 0.7500 [2 per cell]
O1 0.0215 0.4092 0.6594 [12 per cell]